--- w ---
The following is a PBE calculation of YTa3Hg after structural relaxation, from the Alexandria database.

Cell lengths 4.951, 4.951, 4.951 Å; angles 90.00, 90.00, 90.00 degrees
Atoms (fractional coordinates):
Y (0.000, 0.000, 0.000)
Hg (0.500, 0.500, 0.500)
Ta (0.000, 0.500, 0.000)
Ta (0.000, 0.000, 0.500)
Ta (0.500, 0.000, 0.000)

Values from the calculation:
Space group: Pm-3m, No. 221
Magnetic moment, μB/f.u.: 0.00

=====

--- x ---
The following is a PBE calculation of YTa3Hg after structural relaxation, from the Alexandria database.

Cell lengths 5.097, 5.097, 5.097 Å; angles 90.00, 90.00, 90.00 degrees
Atoms (fractional coordinates):
Y (0.500, 0.500, 0.500)
Hg (0.000, 0.000, 0.000)
Ta (0.000, 0.500, 0.000)
Ta (0.000, 0.000, 0.500)
Ta (0.500, 0.000, 0.000)

Values from the calculation:
Space group: Pm-3m, No. 221
Magnetic moment, μB/f.u.: 0.00

=====

Energy ordering: x at the bottom, the next structure 0.545 eV/atom above.

=====

--- w ---
The following is a PBE calculation of YTaHg3 after structural relaxation, from the Alexandria database.

Cell lengths 5.264, 5.264, 5.264 Å; angles 90.00, 90.00, 90.00 degrees
Atoms (fractional coordinates):
Y (0.500, 0.500, 0.500)
Hg (0.000, 0.500, 0.000)
Hg (0.000, 0.000, 0.500)
Hg (0.500, 0.000, 0.000)
Ta (0.000, 0.000, 0.000)

Values from the calculation:
Space group: Pm-3m, No. 221
Magnetic moment, μB/f.u.: 0.00

=====

--- x ---
The following is a PBE calculation of YTaHg3 after structural relaxation, from the Alexandria database.

Cell lengths 5.621, 5.621, 5.621 Å; angles 90.00, 90.00, 90.00 degrees
Site moments in Bohr magnetons follow the coordinates.
Atoms (fractional coordinates):
Y (0.000, 0.000, 0.000)  -0.03
Hg (0.000, 0.500, 0.000)  0.02
Hg (0.000, 0.000, 0.500)  0.04
Hg (0.500, 0.000, 0.000)  0.01
Ta (0.500, 0.500, 0.500)  2.26

Values from the calculation:
Space group: Pm-3m, No. 221
Magnetic moment, μB/f.u.: 3.67

=====

Energy ordering: w at the bottom, the next structure 0.868 eV/atom above.